# TiV2ZnTc | Alexandria | PBE | optimized geometry
# - V (A^3/atom) = 18.72
# - energy relative to the elements (meV per atom) = 938
data_TiV2ZnTc
_space_group_name_H-M_alt 'P 1'
_space_group_IT_number 1
_cell_length_a 4.426
_cell_length_b 4.777
_cell_length_c 4.426
_cell_angle_alpha 90.00
_cell_angle_beta 90.00
_cell_angle_gamma 90.00
loop_
_space_group_symop_operation_xyz
'x,y,z'
loop_
_atom_site_label
_atom_site_fract_x
_atom_site_fract_y
_atom_site_fract_z
Ti1 0.500 0.500 0.500
Tc1 0.000 0.000 0.000
V1 0.500 0.000 0.000
V2 0.000 0.000 0.500
Zn1 0.000 0.500 0.000